(1)
# LiYF4, single point on PBEsol structure, DFT meta-GGA SCAN
# - DOS(E_F) (states/eV/cell) = 0.0
# - E above lowest polymorph (kJ per mole of atoms) = 0.0
data_LiYF4
_symmetry_space_group_name_H-M 'I 41/a'
_symmetry_Int_Tables_number 88
_cell_length_a 5.153
_cell_length_b 5.153
_cell_length_c 10.653
_cell_angle_alpha 90.00
_cell_angle_beta 90.00
_cell_angle_gamma 90.00
loop_
_symmetry_equiv_pos_as_xyz
'x,y,z'
'-x,-y,-z'
'-y+3/4,x+1/4,z+1/4'
'y+3/4,-x+1/4,-z+1/4'
'-x+1/2,-y,z+1/2'
'x+1/2,y,-z+1/2'
'y+3/4,-x+3/4,z+3/4'
'-y+3/4,x+3/4,-z+3/4'
'x+1/2,y+1/2,z+1/2'
'-x+1/2,-y+1/2,-z+1/2'
'-y+1/4,x+3/4,z+3/4'
'y+1/4,-x+3/4,-z+3/4'
'-x,-y+1/2,z'
'x,y+1/2,-z'
'y+1/4,-x+1/4,z+1/4'
'-y+1/4,x+1/4,-z+1/4'
loop_
_atom_site_label
_atom_site_type_symbol
_atom_site_fract_x
_atom_site_fract_y
_atom_site_fract_z
Li1 Li 0.000 0.250 0.125
Y1 Y 0.000 0.250 0.625
F1 F 0.165 0.469 0.794

(2)
# NbReS2, single point on PBEsol structure, DFT meta-GGA SCAN
# - DOS(E_F) (states/eV/cell) = 7.1
data_NbReS2
_symmetry_space_group_name_H-M 'I -4 2 d'
_symmetry_Int_Tables_number 122
_symmetry_space_group_name_Hall 'I -4 2bw'
_cell_length_a 4.287
_cell_length_b 4.287
_cell_length_c 14.486
_cell_angle_alpha 90.00
_cell_angle_beta 90.00
_cell_angle_gamma 90.00
loop_
_atom_site_label
_atom_site_type_symbol
_atom_site_fract_x
_atom_site_fract_y
_atom_site_fract_z
Nb1 Nb 0.000 0.000 0.000
Re1 Re 0.000 0.000 0.500
S1 S 0.232 0.250 0.625

(3)
# KPbSN2, single point on PBEsol structure, DFT meta-GGA SCAN
# - DOS(E_F) (states/eV/cell) = 0.9
data_KPbSN2
_symmetry_space_group_name_H-M 'P 4/m m m'
_symmetry_Int_Tables_number 123
_symmetry_space_group_name_Hall '-P 4 2'
_cell_length_a 4.682
_cell_length_b 4.682
_cell_length_c 5.715
_cell_angle_alpha 90.00
_cell_angle_beta 90.00
_cell_angle_gamma 90.00
loop_
_atom_site_label
_atom_site_type_symbol
_atom_site_fract_x
_atom_site_fract_y
_atom_site_fract_z
K1 K 0.000 0.000 0.000
Pb1 Pb 0.500 0.500 0.500
S1 S 0.000 0.000 0.500
N1 N 0.000 0.500 0.000

(4)
# LiNbTe2I, single point on PBEsol structure, DFT meta-GGA SCAN
# - DOS(E_F) (states/eV/cell) = 3.4
data_LiNbTe2I
_symmetry_space_group_name_H-M 'P 4/m m m'
_symmetry_Int_Tables_number 123
_symmetry_space_group_name_Hall '-P 4 2'
_cell_length_a 5.364
_cell_length_b 5.364
_cell_length_c 5.775
_cell_angle_alpha 90.00
_cell_angle_beta 90.00
_cell_angle_gamma 90.00
loop_
_atom_site_label
_atom_site_type_symbol
_atom_site_fract_x
_atom_site_fract_y
_atom_site_fract_z
Li1 Li 0.000 0.000 0.000
Nb1 Nb 0.500 0.500 0.500
Te1 Te 0.000 0.500 0.500
I1 I 0.500 0.500 0.000

| no. | E_form (uncorrected) (kJ/mol of atoms) |
| --- | --- |
| 1 | -389.7 |
| 2 | -16.1 |
| 3 | 154.6 |
| 4 | -14.2 |